# 1
{"formula": "AlAsBr2", "functional": "PBE", "state": "relaxed", "lattice": [[-4.1265, -6.0756, 6.5226], [-2.2234, -4.2092, 8.5921], [-5.2819, -3.1204, 7.6713]], "species": ["Br", "Al", "As", "Br"], "fractional_positions": [[0.9126, 0.9126, 0.9126], [0.0000, 0.0000, 0.0000], [0.5000, 0.5000, 0.5000], [0.0874, 0.0874, 0.0874]], "spacegroup": "No. 166", "dos_ef_per_ev_cell": 2.2, "de_polymorph_mev_per_atom": 653.3, "e_tot_ev_per_fu": -10.739, "raw_formation_energy_ev_per_atom": 0.2498, "total_magnetization_mub_per_atom": 0.000}

=====

# 2
{"formula": "AlAsBr2", "functional": "PBE", "state": "relaxed", "lattice": [[-5.8369, -1.4326, 6.0634], [-2.5480, -5.5815, 5.9364], [5.7089, 4.7449, -4.2168]], "species": ["Br", "Al", "Br", "As"], "fractional_positions": [[0.6050, 0.6050, 0.0000], [0.7500, 0.2500, 0.5000], [0.8950, 0.8950, 0.0000], [0.2500, 0.7500, 0.5000]], "spacegroup": "No. 71", "dos_ef_per_ev_cell": 1.7, "de_polymorph_mev_per_atom": 322.2, "e_tot_ev_per_fu": -12.063, "raw_formation_energy_ev_per_atom": -0.0813, "total_magnetization_mub_per_atom": 0.000}

=====

# 3
{"formula": "Al2AsBr", "functional": "PBE", "state": "relaxed", "lattice": [[5.0156, 0.0000, 0.0000], [0.0000, 5.0156, 0.0000], [0.0000, 0.0000, 3.2764]], "species": ["As", "Al", "Al", "Br"], "fractional_positions": [[0.5000, 0.0000, 0.5000], [0.0000, 0.0000, 0.0000], [0.5000, 0.5000, 0.0000], [0.0000, 0.5000, 0.5000]], "spacegroup": "No. 123", "dos_ef_per_ev_cell": 1.3, "de_polymorph_mev_per_atom": 331.2, "e_tot_ev_per_fu": -13.290, "raw_formation_energy_ev_per_atom": 0.1295, "total_magnetization_mub_per_atom": 0.000}

=====

# 4
{"formula": "Al2AsBr", "functional": "PBE", "state": "relaxed", "lattice": [[6.1538, -0.0309, 0.0063], [3.3605, 5.1553, -0.0063], [-4.1714, -3.6496, 2.6738]], "species": ["Al", "As", "Br", "Al"], "fractional_positions": [[0.5390, 0.5390, 0.0000], [0.7500, 0.2500, 0.5000], [0.2500, 0.7500, 0.5000], [0.9610, 0.9610, 0.0000]], "spacegroup": "No. 71", "dos_ef_per_ev_cell": 1.1, "de_polymorph_mev_per_atom": 441.5, "e_tot_ev_per_fu": -12.848, "raw_formation_energy_ev_per_atom": 0.2398, "total_magnetization_mub_per_atom": 0.000}

=====

# 5
{"formula": "AlAsBr2", "functional": "PBE", "state": "relaxed", "lattice": [[7.1090, 0.0146, 0.0000], [4.8487, 5.1989, 0.0000], [-5.9788, -2.6067, 2.8278]], "species": ["Al", "As", "Br", "Br"], "fractional_positions": [[0.5000, 0.5000, 0.0000], [0.7500, 0.2500, 0.5000], [0.0000, 0.0000, 0.0000], [0.2500, 0.7500, 0.5000]], "spacegroup": "No. 119", "dos_ef_per_ev_cell": 2.8, "de_polymorph_mev_per_atom": 636.0, "e_tot_ev_per_fu": -10.808, "raw_formation_energy_ev_per_atom": 0.2325, "total_magnetization_mub_per_atom": 0.000}

=====

# 6
{"formula": "Al2AsBr", "functional": "PBE", "state": "relaxed", "lattice": [[-0.5929, -4.2205, -1.7756], [1.5910, -4.1052, 1.3903], [-5.9300, 2.2167, 4.0099]], "species": ["Al", "Al", "As", "Br"], "fractional_positions": [[0.3877, 0.3877, 0.6195], [0.1123, 0.1123, 0.8805], [0.7500, 0.7500, 0.7500], [0.2500, 0.2500, 0.2500]], "spacegroup": "No. 12", "dos_ef_per_ev_cell": 1.0, "de_polymorph_mev_per_atom": 0.0, "e_tot_ev_per_fu": -14.614, "raw_formation_energy_ev_per_atom": -0.2017, "total_magnetization_mub_per_atom": 0.000}

=====

# 7
{"formula": "AlAsBr2", "functional": "PBE", "state": "relaxed", "lattice": [[3.8591, 0.0310, 0.0000], [-1.9431, 3.3344, 0.0000], [0.0000, 0.0000, 8.9389]], "species": ["Al", "Br", "Br", "As"], "fractional_positions": [[0.0000, 0.0000, 0.5342], [0.0000, 0.0000, 0.9229], [0.5000, 0.5000, 0.3336], [0.5000, 0.5000, 0.7093]], "spacegroup": "No. 35", "dos_ef_per_ev_cell": 2.1, "de_polymorph_mev_per_atom": 344.5, "e_tot_ev_per_fu": -11.974, "raw_formation_energy_ev_per_atom": -0.0590, "total_magnetization_mub_per_atom": 0.000}

=====

# 8
{"formula": "Al2AsBr", "functional": "PBE", "state": "relaxed", "lattice": [[3.1078, 0.0000, 0.0000], [0.0000, 3.1078, 0.0000], [0.0000, 0.0000, 9.2670]], "species": ["Al", "Br", "Al", "As"], "fractional_positions": [[0.0000, 0.0000, 0.0191], [0.5000, 0.5000, 0.8331], [0.5000, 0.5000, 0.2272], [0.0000, 0.0000, 0.4206]], "spacegroup": "No. 99", "dos_ef_per_ev_cell": 1.7, "de_polymorph_mev_per_atom": 222.6, "e_tot_ev_per_fu": -13.724, "raw_formation_energy_ev_per_atom": 0.0209, "total_magnetization_mub_per_atom": 0.000}

=====

# 9
{"formula": "AlAsBr2", "functional": "PBE", "state": "relaxed", "lattice": [[2.4102, -3.5773, -2.7414], [-2.0838, -4.6345, -0.5486], [-1.8729, -1.4396, -4.5323]], "species": ["As", "Br", "Al", "Br"], "fractional_positions": [[0.5000, 0.5000, 0.5000], [0.2500, 0.2500, 0.2500], [0.0000, 0.0000, 0.0000], [0.7500, 0.7500, 0.7500]], "spacegroup": "No. 225", "dos_ef_per_ev_cell": 2.6, "de_polymorph_mev_per_atom": 813.3, "e_tot_ev_per_fu": -10.099, "raw_formation_energy_ev_per_atom": 0.4098, "total_magnetization_mub_per_atom": 0.228}

=====

# 10
{"formula": "AlAsBr2", "functional": "PBE", "state": "relaxed", "lattice": [[-1.6732, -6.8583, -2.3303], [1.6398, -7.1339, -1.2980], [-1.6410, -2.5980, 4.5726]], "species": ["Br", "As", "Al", "Br"], "fractional_positions": [[0.8519, 0.8519, 0.6640], [0.1057, 0.1057, 0.3533], [0.4865, 0.4865, 0.5673], [0.0559, 0.0559, 0.9155]], "spacegroup": "No. 8", "dos_ef_per_ev_cell": 1.1, "de_polymorph_mev_per_atom": 119.0, "e_tot_ev_per_fu": -12.876, "raw_formation_energy_ev_per_atom": -0.2845, "total_magnetization_mub_per_atom": 0.000}

=====

# 11
{"formula": "Al2AsBr", "functional": "PBE", "state": "relaxed", "lattice": [[3.9932, 0.0000, 0.0000], [0.0000, 4.9677, 0.0360], [0.0000, 1.9994, 4.5495]], "species": ["Al", "As", "Al", "Br"], "fractional_positions": [[0.0000, 0.4621, 0.4621], [0.5000, 0.2500, 0.2500], [0.0000, 0.0379, 0.0379], [0.5000, 0.7500, 0.7500]], "spacegroup": "No. 65", "dos_ef_per_ev_cell": 1.9, "de_polymorph_mev_per_atom": 207.2, "e_tot_ev_per_fu": -13.786, "raw_formation_energy_ev_per_atom": 0.0055, "total_magnetization_mub_per_atom": 0.000}

=====

# 12
{"formula": "AlAsBr2", "functional": "PBE", "state": "relaxed", "lattice": [[3.5357, -0.0123, 0.0000], [-1.8501, 3.0130, 0.0000], [0.0000, 0.0000, 9.0439]], "species": ["Br", "Br", "Al", "As"], "fractional_positions": [[0.0000, 0.0000, 0.4743], [0.0000, 0.0000, 0.0257], [0.5000, 0.5000, 0.2500], [0.5000, 0.5000, 0.7500]], "spacegroup": "No. 65", "dos_ef_per_ev_cell": 1.3, "de_polymorph_mev_per_atom": 587.8, "e_tot_ev_per_fu": -11.001, "raw_formation_energy_ev_per_atom": 0.1843, "total_magnetization_mub_per_atom": 0.000}